Record 1
DFT (PBE) results for Zr2ReCl after structural relaxation.

a b c (Å): 8.4625 8.4625 8.4625
angles (deg): 22.86 22.86 22.86
Atoms (fractional coordinates):
Zr 0.2434 0.2434 0.2434
Zr 0.7566 0.7566 0.7566
Re 0.5000 0.5000 0.5000
Cl 0.0000 0.0000 0.0000

Output
M_tot   0.00 μB per formula unit
Density   8.36 Mg/m³
Energy relative to the lowest polymorph listed for this composition   297 meV per atom
Energy relative to the elements, uncorrected   -0.339 eV per atom

=====

Record 2
DFT (PBE) results for Tb3Nd2Ho7 after structural relaxation.

a b c (Å): 19.1329 19.1329 3.6034
angles (deg): 90.00 90.00 162.92
Atoms (fractional coordinates):
Tb 0.0000 0.0000 0.0000
Tb 0.1859 0.8141 0.0000
Tb 0.8141 0.1859 0.0000
Nd 0.3530 0.6470 0.5000
Nd 0.6470 0.3530 0.5000
Ho 0.0893 0.9107 0.5000
Ho 0.2695 0.7305 0.5000
Ho 0.4292 0.5708 0.0000
Ho 0.5000 0.5000 0.5000
Ho 0.5708 0.4292 0.0000
Ho 0.7305 0.2695 0.5000
Ho 0.9107 0.0893 0.5000

Output
M_tot   0.00 μB per formula unit
Density   8.23 Mg/m³
Energy relative to the lowest polymorph listed for this composition   30 meV per atom
Energy of formation   0.111 eV per atom

=====

The lowest density belongs to which entry? Tb3Nd2Ho7

=====

Among the records above, which one has the lowest density? Tb3Nd2Ho7

=====

M_tot of number 2 (Tb3Nd2Ho7)? 0.00 μB per formula unit

=====

Number 2 is which compound? Tb3Nd2Ho7